Record 1
First-principles (PBE) data for a geometry-optimized SrTl4Zn structure, as listed in the Alexandria database.

Cell lengths 6.450, 6.450, 6.450 Å; angles 60.00, 60.00, 60.00 degrees
Atoms (fractional coordinates):
Sr 0.000 0.000 0.000
Tl 0.126 0.625 0.625
Tl 0.625 0.126 0.625
Tl 0.625 0.625 0.126
Tl 0.625 0.625 0.625
Zn 0.250 0.250 0.250

- Space group: F-43m, No. 216
- Calculated total energy: -12.29 eV per cell
- Calculated formation energy: 0.02 eV/atom



Record 2
First-principles (PBE) data for a geometry-optimized CaHo5Tl6 structure, as listed in the Alexandria database.

Cell lengths 8.538, 8.538, 7.505 Å; angles 90.00, 90.00, 143.20 degrees
Atoms (fractional coordinates):
Ca 0.000 0.000 0.000
Ho 0.000 0.000 0.500
Ho 0.334 0.666 0.000
Ho 0.335 0.665 0.500
Ho 0.665 0.335 0.500
Ho 0.666 0.334 0.000
Tl 0.168 0.832 0.252
Tl 0.168 0.832 0.748
Tl 0.500 0.500 0.251
Tl 0.500 0.500 0.749
Tl 0.832 0.168 0.252
Tl 0.832 0.168 0.748

- Space group: Cmmm, No. 65
- Calculated total energy: -43.16 eV per cell
- Calculated formation energy: -0.34 eV/atom



Record 3
First-principles (PBE) data for a geometry-optimized La3Y12Sc structure, as listed in the Alexandria database.

Cell lengths 5.080, 5.080, 20.302 Å; angles 90.00, 90.00, 90.00 degrees
Atoms (fractional coordinates):
La 0.000 0.000 0.000
La 0.000 0.000 0.252
La 0.000 0.000 0.748
Y 0.000 0.500 0.127
Y 0.000 0.500 0.382
Y 0.000 0.500 0.618
Y 0.000 0.500 0.873
Y 0.500 0.000 0.127
Y 0.500 0.000 0.382
Y 0.500 0.000 0.618
Y 0.500 0.000 0.873
Y 0.500 0.500 0.000
Y 0.500 0.500 0.255
Y 0.500 0.500 0.500
Y 0.500 0.500 0.745
Sc 0.000 0.000 0.500

- Space group: P4/mmm, No. 123
- Calculated total energy: -98.05 eV per cell
- Calculated formation energy: 0.04 eV/atom



Record 4
First-principles (PBE) data for a geometry-optimized Hf2MgSe structure, as listed in the Alexandria database.

Cell lengths 6.861, 6.861, 6.861 Å; angles 90.00, 90.00, 90.00 degrees
Atoms (fractional coordinates):
Hf 0.250 0.250 0.250
Hf 0.250 0.250 0.750
Hf 0.250 0.750 0.250
Hf 0.250 0.750 0.750
Hf 0.750 0.250 0.250
Hf 0.750 0.250 0.750
Hf 0.750 0.750 0.250
Hf 0.750 0.750 0.750
Mg 0.000 0.000 0.000
Mg 0.000 0.500 0.500
Mg 0.500 0.000 0.500
Mg 0.500 0.500 0.000
Se 0.000 0.000 0.500
Se 0.000 0.500 0.000
Se 0.500 0.000 0.000
Se 0.500 0.500 0.500

- Energy relative to the elements, uncorrected: 12.8 kJ/mol of formula units
- Space group: Fm-3m, No. 225
- Calculated total energy: -99.41 eV per cell
- ΔE to the lowest computed polymorph: 0.055 eV/atom



Record 5
First-principles (PBE) data for a geometry-optimized BaTbAu2 structure, as listed in the Alexandria database.

Cell lengths 3.775, 3.775, 7.782 Å; angles 90.00, 90.00, 90.00 degrees
Atoms (fractional coordinates):
Ba 0.000 0.000 0.000
Tb 0.000 0.000 0.500
Au 0.500 0.500 0.303
Au 0.500 0.500 0.697

- Space group: P4/mmm, No. 123
- Calculated total energy: -16.11 eV per cell
- Calculated formation energy: -0.75 eV/atom
- ΔE to the lowest computed polymorph: 0.000 eV/atom



Record 6
First-principles (PBE) data for a geometry-optimized ScTl2Ir structure, as listed in the Alexandria database.

Cell lengths 3.320, 3.320, 27.230 Å; angles 90.00, 90.00, 120.00 degrees
Atoms (fractional coordinates):
Sc 0.000 0.000 0.000
Sc 0.333 0.667 0.667
Sc 0.667 0.333 0.333
Tl 0.000 0.000 0.243
Tl 0.000 0.000 0.757
Tl 0.333 0.667 0.423
Tl 0.333 0.667 0.910
Tl 0.667 0.333 0.090
Tl 0.667 0.333 0.577
Ir 0.000 0.000 0.500
Ir 0.333 0.667 0.167
Ir 0.667 0.333 0.833

- Space group: R-3m, No. 166
- Calculated total energy: -56.87 eV per cell
- Calculated formation energy: 0.24 eV/atom



Record 7
First-principles (PBE) data for a geometry-optimized LiAlGaAg3 structure, as listed in the Alexandria database.

Cell lengths 7.231, 3.297, 9.029 Å; angles 90.00, 110.45, 90.00 degrees
Atoms (fractional coordinates):
Li 0.001 0.250 0.370
Li 0.999 0.750 0.630
Al 0.358 0.250 0.228
Al 0.642 0.750 0.772
Ga 0.009 0.750 0.130
Ga 0.991 0.250 0.870
Ag 0.319 0.750 0.456
Ag 0.321 0.250 0.714
Ag 0.323 0.750 0.978
Ag 0.677 0.250 0.022
Ag 0.679 0.750 0.286
Ag 0.681 0.250 0.544

- Space group: P2_1/m, No. 11
- Calculated total energy: -35.68 eV per cell
- Calculated formation energy: -0.10 eV/atom



Record 8
First-principles (PBE) data for a geometry-optimized K2BiIrO6 structure, as listed in the Alexandria database.

Cell lengths 6.012, 6.012, 6.012 Å; angles 60.00, 60.00, 60.00 degrees
Atoms (fractional coordinates):
K 0.250 0.250 0.250
K 0.750 0.750 0.750
Bi 0.000 0.000 0.000
Ir 0.500 0.500 0.500
O 0.274 0.274 0.726
O 0.274 0.726 0.274
O 0.274 0.726 0.726
O 0.726 0.274 0.274
O 0.726 0.274 0.726
O 0.726 0.726 0.274

- Energy relative to the elements, uncorrected: -1025.1 kJ/mol of formula units
- Space group: Fm-3m, No. 225
- Calculated total energy: -55.31 eV per cell



Record 9
First-principles (PBE) data for a geometry-optimized Li2AcPmSi2 structure, as listed in the Alexandria database.

Cell lengths 4.548, 4.548, 7.787 Å; angles 90.00, 90.00, 120.00 degrees
Atoms (fractional coordinates):
Li 0.333 0.667 0.202
Li 0.667 0.333 0.798
Ac 0.000 0.000 0.500
Pm 0.000 0.000 0.000
Si 0.333 0.667 0.774
Si 0.667 0.333 0.226

- Energy relative to the elements, uncorrected: -294.3 kJ/mol of formula units
- Space group: P-3m1, No. 164
- Calculated total energy: -26.58 eV per cell



Record 10
First-principles (PBE) data for a geometry-optimized NiSbSe2 structure, as listed in the Alexandria database.

Cell lengths 3.553, 3.553, 24.803 Å; angles 90.00, 90.00, 120.00 degrees
Atoms (fractional coordinates):
Ni 0.000 0.000 0.000
Ni 0.333 0.667 0.667
Ni 0.667 0.333 0.333
Sb 0.000 0.000 0.500
Sb 0.333 0.667 0.167
Sb 0.667 0.333 0.833
Se 0.000 0.000 0.384
Se 0.000 0.000 0.616
Se 0.333 0.667 0.051
Se 0.333 0.667 0.282
Se 0.667 0.333 0.718
Se 0.667 0.333 0.949

- Energy relative to the elements, uncorrected: -57.3 kJ/mol of formula units
- Space group: R-3m, No. 166
- Calculated total energy: -52.40 eV per cell



Record 11
First-principles (PBE) data for a geometry-optimized CaLa2Co structure, as listed in the Alexandria database.

Cell lengths 11.870, 3.760, 6.774 Å; angles 90.00, 119.37, 90.00 degrees
Atoms (fractional coordinates):
Ca 0.000 0.000 0.000
Ca 0.500 0.500 0.000
La 0.153 0.500 0.677
La 0.322 0.500 0.299
La 0.653 0.000 0.677
La 0.822 0.000 0.299
Co 0.255 0.000 0.991
Co 0.755 0.500 0.991

- Space group: Cm, No. 8
- Calculated total energy: -37.79 eV per cell
- Calculated formation energy: 0.02 eV/atom
- ΔE to the lowest computed polymorph: 0.087 eV/atom



Record 12
First-principles (PBE) data for a geometry-optimized Cs2Zn4Au structure, as listed in the Alexandria database.

Cell lengths 5.129, 5.129, 19.284 Å; angles 90.00, 90.00, 90.00 degrees
Atoms (fractional coordinates):
Cs 0.000 0.000 0.157
Cs 0.000 0.000 0.843
Cs 0.500 0.500 0.343
Cs 0.500 0.500 0.657
Zn 0.000 0.000 0.368
Zn 0.000 0.000 0.632
Zn 0.000 0.500 0.000
Zn 0.000 0.500 0.500
Zn 0.500 0.000 0.000
Zn 0.500 0.000 0.500
Zn 0.500 0.500 0.132
Zn 0.500 0.500 0.868
Au 0.000 0.000 0.500
Au 0.500 0.500 0.000

- Space group: I4/mmm, No. 139
- Calculated total energy: -19.40 eV per cell
- Calculated formation energy: 0.05 eV/atom